VASP calculation (GGA-PBE) on a relaxed LiLa2Cd crystal.

- energy of formation from the pure elements (meV per atom) = -130
- symmetry = No. 65
- V (Å³/cell) = 238.8
- crystal system = orthorhombic

abc: 7.628 7.651 4.092
angles: 90.00 90.00 90.00
Sites, in units of the cell vectors:
Li: 0.000 0.000 0.000
Li: 0.500 0.500 0.000
La: 0.250 0.250 0.500
La: 0.250 0.750 0.500
La: 0.750 0.250 0.500
La: 0.750 0.750 0.500
Cd: 0.000 0.500 0.000
Cd: 0.500 0.000 0.000

***

VASP calculation (GGA-PBE) on a relaxed Li2LaCd crystal.

- energy of formation from the pure elements (meV per atom) = -58
- symmetry = No. 6
- V (Å³/cell) = 102.0
- crystal system = monoclinic

abc: 3.340 5.028 6.226
angles: 90.00 102.60 90.00
Sites, in units of the cell vectors:
Li: 0.000 0.000 0.000
Li: 0.373 0.500 0.832
La: 0.657 0.000 0.473
Cd: 0.052 0.500 0.234

***

VASP calculation (GGA-PBE) on a relaxed Li2LaCd crystal.

- energy of formation from the pure elements (meV per atom) = 27
- symmetry = No. 166
- V (Å³/cell) = 306.4
- crystal system = trigonal

abc: 3.349 3.349 31.555
angles: 90.00 90.00 120.00
Sites, in units of the cell vectors:
Li: 0.000 0.000 0.241
Li: 0.000 0.000 0.759
Li: 0.333 0.667 0.426
Li: 0.333 0.667 0.908
Li: 0.667 0.333 0.092
Li: 0.667 0.333 0.574
La: 0.000 0.000 0.000
La: 0.333 0.667 0.667
La: 0.667 0.333 0.333
Cd: 0.000 0.000 0.500
Cd: 0.333 0.667 0.167
Cd: 0.667 0.333 0.833